Crystalline KDy2CuTe4 at its relaxed geometry. Source: Alexandria, functional PBE.

Results
Magnetization = 0.000 μB/atom
Uncorrected energy = -36.10 eV per formula unit

a = 4.378 Å, b = 7.832 Å, c = 15.433 Å
α = 90.00°, β = 90.00°, γ = 106.23°
Sites, in units of the cell vectors:
K: 0.115 0.229 0.750
K: 0.885 0.771 0.250
Dy: 0.365 0.731 0.566
Dy: 0.635 0.269 0.066
Dy: 0.635 0.269 0.434
Dy: 0.365 0.731 0.934
Cu: 0.841 0.682 0.750
Cu: 0.159 0.318 0.250
Te: 0.267 0.535 0.113
Te: 0.733 0.465 0.613
Te: 0.733 0.465 0.887
Te: 0.267 0.535 0.387
Te: 0.000 0.000 0.500
Te: 0.000 0.000 0.000
Te: 0.438 0.877 0.750
Te: 0.562 0.123 0.250


Crystalline PmHoCo2 at its relaxed geometry. Source: Alexandria, functional PBE.

Results
Magnetization = 0.066 μB/atom
Uncorrected energy = -24.14 eV per formula unit
E above lowest polymorph = 0 meV/atom

a = 3.877 Å, b = 5.629 Å, c = 7.572 Å
α = 90.00°, β = 90.00°, γ = 90.00°
Sites, in units of the cell vectors:
Pm: 0.000 0.132 0.676
Pm: 0.000 0.868 0.176
Ho: 0.500 0.369 0.320
Ho: 0.500 0.631 0.820
Co: 0.000 0.640 0.529
Co: 0.000 0.360 0.029
Co: 0.500 0.835 0.474
Co: 0.500 0.165 0.974


Look up the uncorrected energy of the first one. -36.10 eV per formula unit